Below is a relaxed LaTmAgIr crystal, with properties calculated at the PBE level.

```
LaTmAgIr
1.0
0.000 3.587 3.587
3.587 0.000 3.587
3.587 3.587 0.000
La Tm Ag Ir
1 1 1 1
Direct
0.000 0.000 0.000 La
0.500 0.500 0.500 Tm
0.750 0.750 0.750 Ag
0.250 0.250 0.250 Ir
```

Calculated values
Space group: F-43m (216)
Electronic total energy in eV per cell: -23.2
E_form in eV per atom: -0.511